(1)
Compound: Ba4SrPu3O12
Source: Alexandria
Functional: PBE
Structure: relaxed

Lattice parameters (Å, degrees): 8.872 8.872 8.872 90.00 90.00 90.00
Space group Im-3m (No. 229)
One atom of each set of equivalent atoms:
Ba: 0.250 0.250 0.250 (multiplicity 8)
Sr: 0.000 0.000 0.000 (multiplicity 2)
Pu: 0.000 0.000 0.500 (multiplicity 6)
O: 0.000 0.000 0.269 (multiplicity 12)
O: 0.000 0.250 0.500 (multiplicity 12)

Properties
ΔE_f (raw) (eV per atom): -2.891
Spin magnetization (Bohr magnetons per cell): 20.00
E_tot (eV for the cell shown): -339.4

(2)
Compound: MgNiP2Cl
Source: Alexandria
Functional: PBE
Structure: relaxed

Lattice parameters (Å, degrees): 4.166 4.166 6.183 90.00 90.00 90.00
Space group P4/mmm (No. 123)
One atom of each set of equivalent atoms:
Mg: 0.000 0.000 0.000 (multiplicity 1)
Ni: 0.500 0.500 0.500 (multiplicity 1)
P: 0.000 0.500 0.500 (multiplicity 2)
Cl: 0.500 0.500 0.000 (multiplicity 1)

Properties
ΔE_f (raw) (eV per atom): 0.098
Spin magnetization (Bohr magnetons per cell): 0.54
E above lowest polymorph (kJ/mol of formula units): 0
E_tot (eV for the cell shown): -19.6

(3)
Compound: KMgBe2
Source: Alexandria
Functional: PBE
Structure: relaxed

Lattice parameters (Å, degrees): 3.438 3.438 7.475 90.00 90.00 90.00
Space group P4/mmm (No. 123)
One atom of each set of equivalent atoms:
K: 0.000 0.000 0.000 (multiplicity 1)
Mg: 0.000 0.000 0.500 (multiplicity 1)
Be: 0.500 0.500 0.356 (multiplicity 2)

Properties
Energy relative to the elements (eV per atom): 0.690
Spin magnetization (Bohr magnetons per cell): 0.00
E_tot (eV for the cell shown): -7.4

(4)
Compound: NaReTcW2
Source: Alexandria
Functional: PBE
Structure: relaxed

Lattice parameters (Å, degrees): 4.767 4.767 4.768 90.00 90.00 90.00
Space group P4/mmm (No. 123)
One atom of each set of equivalent atoms:
Na: 0.000 0.000 0.000 (multiplicity 1)
Re: 0.500 0.500 0.000 (multiplicity 1)
Tc: 0.500 0.500 0.500 (multiplicity 1)
W: 0.000 0.500 0.500 (multiplicity 2)

Properties
Energy relative to the elements (eV per atom): 1.951
Spin magnetization (Bohr magnetons per cell): 0.01
E_tot (eV for the cell shown): -40.3

(5)
Compound: Ce3ScAl8
Source: Alexandria
Functional: PBE
Structure: relaxed

Lattice parameters (Å, degrees): 5.5610 5.5610 27.2461 90.00 90.00 120.00
Space group R3m (No. 160, hexagonal axes)
One atom of each set of equivalent atoms:
Ce: 0.0000 0.0000 0.0000 (multiplicity 3)
Ce: 0.0000 0.0000 0.1245 (multiplicity 3)
Ce: 0.0000 0.0000 0.6262 (multiplicity 3)
Sc: 0.0000 0.0000 0.5004 (multiplicity 3)
Al: 0.0000 0.0000 0.3121 (multiplicity 3)
Al: 0.0000 0.0000 0.8131 (multiplicity 3)
Al: 0.0012 0.5006 0.0644 (multiplicity 9)
Al: 0.1675 0.3349 0.8946 (multiplicity 9)

Properties
Energy relative to the elements (eV per atom): -0.448
Spin magnetization (Bohr magnetons per cell): 6.60
E_tot (eV for the cell shown): -178.4

(6)
Compound: Ti4Ir2Pd3
Source: Alexandria
Functional: PBE
Structure: relaxed

Lattice parameters (Å, degrees): 8.320 4.027 8.426 90.00 100.66 90.00
Space group C2/m (No. 12)
One atom of each set of equivalent atoms:
Ti: 0.024 0.000 0.335 (multiplicity 4)
Ti: 0.165 0.500 0.885 (multiplicity 4)
Ir: 0.177 0.500 0.209 (multiplicity 4)
Pd: 0.000 0.000 0.000 (multiplicity 2)
Pd: 0.162 0.500 0.560 (multiplicity 4)

Properties
Energy relative to the elements (eV per atom): -0.654
Spin magnetization (Bohr magnetons per cell): 0.00
E_tot (eV for the cell shown): -141.5

(7)
Compound: Sc6GaPd5
Source: Alexandria
Functional: PBE
Structure: relaxed

Lattice parameters (Å, degrees): 4.727 6.551 7.466 90.00 108.07 90.00
Space group P2/m (No. 10)
One atom of each set of equivalent atoms:
Sc: 0.000 0.246 0.000 (multiplicity 2)
Sc: 0.331 0.249 0.663 (multiplicity 4)
Ga: 0.500 0.500 0.000 (multiplicity 1)
Pd: 0.163 0.500 0.323 (multiplicity 2)
Pd: 0.170 0.000 0.335 (multiplicity 2)
Pd: 0.500 0.000 0.000 (multiplicity 1)

Properties
Energy relative to the elements (eV per atom): -0.849
Spin magnetization (Bohr magnetons per cell): 0.00
E_tot (eV for the cell shown): -77.2

(8)
Compound: CsP2IrCl
Source: Alexandria
Functional: PBE
Structure: relaxed

Lattice parameters (Å, degrees): 5.596 5.596 5.795 90.00 90.00 90.00
Space group P4/mmm (No. 123)
One atom of each set of equivalent atoms:
Cs: 0.000 0.000 0.000 (multiplicity 1)
P: 0.000 0.500 0.000 (multiplicity 2)
Ir: 0.500 0.500 0.500 (multiplicity 1)
Cl: 0.000 0.000 0.500 (multiplicity 1)

Properties
ΔE_f (raw) (eV per atom): 2.447
Spin magnetization (Bohr magnetons per cell): 2.76
E above lowest polymorph (kJ/mol of formula units): 1302
E_tot (eV for the cell shown): -10.1

(9)
Compound: Ba2BeCl
Source: Alexandria
Functional: PBE
Structure: relaxed

Lattice parameters (Å, degrees): 4.520 4.520 14.494 90.00 90.00 90.00
Space group I-4m2 (No. 119)
One atom of each set of equivalent atoms:
Ba: 0.000 0.000 0.000 (multiplicity 2)
Ba: 0.000 0.500 0.250 (multiplicity 2)
Be: 0.000 0.500 0.750 (multiplicity 2)
Cl: 0.000 0.000 0.500 (multiplicity 2)

Properties
ΔE_f (raw) (eV per atom): -0.349
Spin magnetization (Bohr magnetons per cell): 0.00
E above lowest polymorph (kJ/mol of formula units): 86
E_tot (eV for the cell shown): -21.6

(10)
Compound: K2ZnAs2O6
Source: Alexandria
Functional: PBE
Structure: relaxed

Lattice parameters (Å, degrees): 10.283 5.722 6.629 90.00 119.36 90.00
Space group C2/m (No. 12)
One atom of each set of equivalent atoms:
K: 0.209 0.000 0.182 (multiplicity 4)
Zn: 0.000 0.000 0.500 (multiplicity 2)
As: 0.047 0.500 0.213 (multiplicity 4)
O: 0.033 0.249 0.751 (multiplicity 8)
O: 0.237 0.500 0.358 (multiplicity 4)

Properties
ΔE_f (raw) (eV per atom): -1.418
Spin magnetization (Bohr magnetons per cell): 0.00
E_tot (eV for the cell shown): -116.2

(11)
Compound: BaFe2Se
Source: Alexandria
Functional: PBE
Structure: relaxed

Lattice parameters (Å, degrees): 4.858 4.858 16.195 90.00 90.00 90.00
Space group I4_1/amd (No. 141, origin choice 2)
One atom of each set of equivalent atoms:
Ba: 0.000 0.250 0.375 (multiplicity 4)
Fe: 0.000 0.000 0.000 (multiplicity 8)
Se: 0.000 0.250 0.875 (multiplicity 4)

Properties
ΔE_f (raw) (eV per atom): 0.016
Spin magnetization (Bohr magnetons per cell): 14.99
E_tot (eV for the cell shown): -89.1

(12)
Compound: LaMnMo2
Source: Alexandria
Functional: PBE
Structure: relaxed

Lattice parameters (Å, degrees): 5.348 10.064 2.755 90.00 90.00 90.00
Space group Cmmm (No. 65)
One atom of each set of equivalent atoms:
La: 0.000 0.000 0.000 (multiplicity 2)
Mn: 0.000 0.500 0.000 (multiplicity 2)
Mo: 0.250 0.250 0.500 (multiplicity 4)

Properties
Energy relative to the elements (eV per atom): 0.771
Spin magnetization (Bohr magnetons per cell): 5.12
E above lowest polymorph (kJ/mol of formula units): 176
E_tot (eV for the cell shown): -65.4